First-principles (GGA-PBE) data for a relaxed structure of CaTaNi4, as listed in Alexandria via LeMat-Bulk.

Cell and atoms, written as CIF:
```
data_CaTaNi4
_chemical_formula_sum 'Ca1 Ta1 Ni4'
_cell_length_a 4.916
_cell_length_b 4.916
_cell_length_c 4.916
_cell_angle_alpha 60.00
_cell_angle_beta 60.00
_cell_angle_gamma 60.00
_space_group_name_H-M_alt 'P 1'
_space_group_IT_number 1
_space_group_name_Hall 'P 1'
loop_
_atom_site_label
_atom_site_type_symbol
_atom_site_fract_x
_atom_site_fract_y
_atom_site_fract_z
Ni1 Ni 0.874 0.375 0.375
Ni2 Ni 0.375 0.375 0.874
Ni3 Ni 0.375 0.874 0.375
Ni4 Ni 0.375 0.375 0.375
Ca1 Ca 0.000 0.000 0.000
Ta1 Ta 0.750 0.750 0.750
```

## Properties
As for the crystal system: cubic. The calculation puts the theoretical density at 9.01 g cm⁻³. The total magnetic moment is 0.0 μB/cell. Its formation energy is -0.20 eV/f.u. Its space-group type is F-43m. The value obtained for the calculated volume is 14.00 Å³ per atom.